Below is an optimized crystal structure of YbP, with properties calculated at the GGA-PBE level.

Results
Its space group is Fm-3m (225). Its magnetic moment is 0.07 μB per cell. For the raw total energy, the calculation gives -9.185 eV/cell. The energy of formation from the pure elements is -217 kJ/mol of formula units.

a b c (Å): 3.993 3.993 3.993
angles (deg): 60.00 60.00 60.00
Element x y z (fractional)
Yb  0.000  0.000  0.000
P  0.500  0.500  0.500

---

Below is an optimized crystal structure of TlSiF4, with properties calculated at the GGA-PBE level.

Results
Its space group is C2/c (15). Its magnetic moment is 0.00 μB per cell. The calculation puts the uncorrected formation energy at -2.407 eV/atom. For the energy above the most stable polymorph in this dataset, the calculation gives 22 meV/atom. For the raw total energy, the calculation gives -59.430 eV/cell.

a b c (Å): 7.725 7.725 5.031
angles (deg): 107.61 107.61 118.62
Element x y z (fractional)
Tl  0.133  0.867  0.750
Tl  0.867  0.133  0.250
Si  0.414  0.586  0.250
Si  0.586  0.414  0.750
F  0.167  0.304  0.961
F  0.300  0.637  0.464
F  0.304  0.167  0.461
F  0.363  0.700  0.036
F  0.637  0.300  0.964
F  0.696  0.833  0.539
F  0.700  0.363  0.536
F  0.833  0.696  0.039

---

Below is an optimized crystal structure of Sm8Er2Tm, with properties calculated at the GGA-PBE level.

Results
Its space group is C2/m (12). Its magnetic moment is 0.00 μB per cell. For the energy above the most stable polymorph in this dataset, the calculation gives 7 meV/atom. For the raw total energy, the calculation gives -49.427 eV/cell. The energy of formation from the pure elements is 186 kJ/mol of formula units.

a b c (Å): 8.976 8.976 6.674
angles (deg): 99.55 99.55 44.04
Element x y z (fractional)
Sm  0.093  0.093  0.911
Sm  0.151  0.675  0.597
Sm  0.255  0.255  0.682
Sm  0.325  0.849  0.403
Sm  0.675  0.151  0.597
Sm  0.745  0.745  0.318
Sm  0.849  0.325  0.403
Sm  0.907  0.907  0.089
Er  0.303  0.303  0.195
Er  0.697  0.697  0.805
Tm  0.500  0.500  0.000

---

Below is an optimized crystal structure of TeSeBr, with properties calculated at the GGA-PBE level.

Results
Its space group is F-43m (216). Its magnetic moment is 0.00 μB per cell. The calculation puts the uncorrected formation energy at 0.468 eV/atom. For the energy above the most stable polymorph in this dataset, the calculation gives 619 meV/atom. For the raw total energy, the calculation gives -6.894 eV/cell.

a b c (Å): 5.043 5.043 5.043
angles (deg): 60.00 60.00 60.00
Element x y z (fractional)
Te  0.000  0.000  0.000
Se  0.250  0.250  0.250
Br  0.500  0.500  0.500

---

Below is an optimized crystal structure of Cu3AgF8, with properties calculated at the GGA-PBE level.

Results
Its space group is P-3 (147). Its magnetic moment is 4.15 μB per cell. The calculation puts the uncorrected formation energy at -1.259 eV/atom. For the energy above the most stable polymorph in this dataset, the calculation gives 0 meV/atom. For the raw total energy, the calculation gives -45.214 eV/cell.

a b c (Å): 5.654 5.654 6.579
angles (deg): 90.00 90.00 120.00
Element x y z (fractional)
Cu  0.000  0.000  0.000
Cu  0.333  0.667  0.271
Cu  0.667  0.333  0.729
Ag  0.000  0.000  0.500
F  0.080  0.777  0.188
F  0.223  0.303  0.188
F  0.303  0.080  0.812
F  0.333  0.667  0.546
F  0.667  0.333  0.454
F  0.697  0.920  0.188
F  0.777  0.697  0.812
F  0.920  0.223  0.812

---

Below is an optimized crystal structure of CaAlSe2, with properties calculated at the GGA-PBE level.

Results
Its space group is R3m (160). Its magnetic moment is 0.00 μB per cell. The calculation puts the uncorrected formation energy at -0.679 eV/atom. For the raw total energy, the calculation gives -15.430 eV/cell.

a b c (Å): 7.942 7.942 7.942
angles (deg): 30.01 30.01 30.01
Element x y z (fractional)
Ca  0.000  0.000  0.000
Al  0.780  0.780  0.780
Se  0.273  0.273  0.273
Se  0.491  0.491  0.491

---

Below is an optimized crystal structure of CuAgSO, with properties calculated at the GGA-PBE level.

Results
Its space group is P4/nmm (129). Its magnetic moment is 0.00 μB per cell. The calculation puts the uncorrected formation energy at 0.073 eV/atom. For the raw total energy, the calculation gives -31.484 eV/cell.

a b c (Å): 4.146 4.146 7.482
angles (deg): 90.00 90.00 90.00
Element x y z (fractional)
Cu  0.250  0.750  0.000
Cu  0.750  0.250  0.000
Ag  0.250  0.250  0.429
Ag  0.750  0.750  0.571
S  0.250  0.250  0.857
S  0.750  0.750  0.143
O  0.250  0.750  0.500
O  0.750  0.250  0.500

---

Below is an optimized crystal structure of Cs4PaSe4, with properties calculated at the GGA-PBE level.

Results
Its space group is I-42m (121). Its magnetic moment is 1.01 μB per cell. The calculation puts the uncorrected formation energy at -1.169 eV/atom. For the raw total energy, the calculation gives -37.365 eV/cell.

a b c (Å): 9.566 9.566 9.566
angles (deg): 125.96 125.96 79.95
Element x y z (fractional)
Cs  0.000  0.500  0.500
Cs  0.199  0.199  0.000
Cs  0.500  0.000  0.500
Cs  0.801  0.801  0.000
Pa  0.500  0.500  0.000
Se  0.210  0.210  0.638
Se  0.428  0.790  0.000
Se  0.572  0.572  0.362
Se  0.790  0.428  0.000

---

Below is an optimized crystal structure of Rb2MgPdO4, with properties calculated at the GGA-PBE level.

Results
Its space group is Fddd (70). Its magnetic moment is 4.10 μB per cell. The calculation puts the uncorrected formation energy at -1.113 eV/atom. For the raw total energy, the calculation gives -74.915 eV/cell.

a b c (Å): 12.080 10.500 7.167
angles (deg): 84.02 59.82 36.16
Element x y z (fractional)
Rb  0.056  0.056  0.694
Rb  0.306  0.306  0.944
Rb  0.694  0.694  0.056
Rb  0.944  0.944  0.306
Mg  0.125  0.125  0.125
Mg  0.875  0.875  0.875
Pd  0.375  0.375  0.375
Pd  0.625  0.625  0.625
O  0.002  0.699  0.551
O  0.247  0.551  0.699
O  0.301  0.998  0.753
O  0.449  0.753  0.998
O  0.551  0.247  0.002
O  0.699  0.002  0.247
O  0.753  0.449  0.301
O  0.998  0.301  0.449

---

Below is an optimized crystal structure of SrZr2Sb, with properties calculated at the GGA-PBE level.

Results
Its space group is C2/m (12). Its magnetic moment is 0.00 μB per cell. The calculation puts the uncorrected formation energy at 0.074 eV/atom. For the raw total energy, the calculation gives -22.605 eV/cell.

a b c (Å): 6.465 6.465 3.305
angles (deg): 104.20 104.20 119.10
Element x y z (fractional)
Sr  0.000  0.000  0.000
Zr  0.000  0.500  0.500
Zr  0.500  0.000  0.500
Sb  0.500  0.500  0.000

---

Below is an optimized crystal structure of CeNiBi, with properties calculated at the GGA-PBE level.

Results
Its space group is I4mm (107). Its magnetic moment is 0.34 μB per cell. For the raw total energy, the calculation gives -16.411 eV/cell. The energy of formation from the pure elements is -79 kJ/mol of formula units.

a b c (Å): 6.333 6.333 6.333
angles (deg): 148.50 148.50 45.14
Element x y z (fractional)
Ce  0.000  0.000  0.000
Ni  0.626  0.626  0.000
Bi  0.280  0.280  0.000